Entry 1:
Here is a relaxed YScNi2 crystal from the Alexandria database. Energies are from PBEsol.

Values from the calculation:
- ΔE_f: -431 meV/atom
- Crystal system: orthorhombic
- Space-group type: Amm2

Lattice parameters (Å, degrees): 3.4976 4.1314 5.1624 90.00 109.80 90.00
Fractional positions:
Y (0.7691, 0.5000, 0.5381)
Ni (0.0481, 0.5000, 0.0962)
Ni (0.1936, 0.0000, 0.3872)
Sc (0.4892, 0.0000, 0.9785)

=====

Entry 2:
Here is a relaxed YScNi2 crystal from the Alexandria database. Energies are from PBEsol.

Values from the calculation:
- ΔE_f: -92 meV/atom
- Crystal system: cubic
- Space-group type: F-43m

Lattice parameters (Å, degrees): 4.4542 4.4542 4.4542 60.00 60.00 60.00
Fractional positions:
Ni (0.0000, 0.0000, 0.0000)
Ni (0.7500, 0.7500, 0.7500)
Sc (0.5000, 0.5000, 0.5000)
Y (0.2500, 0.2500, 0.2500)

=====

Entry 3:
Here is a relaxed Y2ScNi crystal from the Alexandria database. Energies are from PBEsol.

Values from the calculation:
- ΔE_f: -160 meV/atom
- Crystal system: tetragonal
- Space-group type: P4mm
- E above lowest polymorph: 0.008 eV per atom

Lattice parameters (Å, degrees): 3.3136 3.3136 8.3083 90.00 90.00 90.00
Fractional positions:
Y (0.0000, 0.0000, 0.9833)
Y (0.5000, 0.5000, 0.3127)
Ni (0.0000, 0.0000, 0.5218)
Sc (0.5000, 0.5000, 0.6821)

=====

Entry 4:
Here is a relaxed Y2ScNi crystal from the Alexandria database. Energies are from PBEsol.

Values from the calculation:
- ΔE_f: 206 meV/atom
- Crystal system: cubic
- Space-group type: F-43m
- E above lowest polymorph: 0.375 eV per atom

Lattice parameters (Å, degrees): 4.9726 4.9726 4.9726 60.00 60.00 60.00
Fractional positions:
Ni (0.5000, 0.5000, 0.5000)
Sc (0.2500, 0.2500, 0.2500)
Y (0.0000, 0.0000, 0.0000)
Y (0.7500, 0.7500, 0.7500)

=====

Entry 5:
Here is a relaxed Y4ScNi crystal from the Alexandria database. Energies are from PBEsol.

Values from the calculation:
- ΔE_f: 681 meV/atom
- Crystal system: cubic
- Space-group type: F-43m

Lattice parameters (Å, degrees): 6.1164 6.1164 6.1164 60.00 60.00 60.00
Fractional positions:
Ni (0.7500, 0.7500, 0.7500)
Sc (0.0000, 0.0000, 0.0000)
Y (0.3751, 0.3751, 0.3751)
Y (0.3751, 0.3751, 0.8747)
Y (0.8747, 0.3751, 0.3751)
Y (0.3751, 0.8747, 0.3751)

=====

Entry 6:
Here is a relaxed ScZnNi crystal from the Alexandria database. Energies are from PBEsol.

Values from the calculation:
- ΔE_f: -365 meV/atom
- Crystal system: hexagonal
- Space-group type: P-6m2

Lattice parameters (Å, degrees): 3.0346 4.1622 4.1622 120.00 90.00 90.00
Fractional positions:
Sc (0.0000, 0.3333, 0.6667)
Ni (0.5000, 0.0000, 0.0000)
Zn (0.5000, 0.6667, 0.3333)

=====

Entry 7:
Here is a relaxed ScZnNi2 crystal from the Alexandria database. Energies are from PBEsol.

Values from the calculation:
- ΔE_f: -275 meV/atom
- Crystal system: orthorhombic
- Space-group type: Pmm2

Lattice parameters (Å, degrees): 2.8778 3.5625 5.2302 90.00 90.00 90.00
Fractional positions:
Ni (0.0000, 0.0000, 0.9870)
Ni (0.5000, 0.5000, 0.2461)
Sc (0.0000, 0.0000, 0.4764)
Zn (0.5000, 0.5000, 0.7905)

=====

Entry 8:
Here is a relaxed ScZnNi crystal from the Alexandria database. Energies are from PBEsol.

Values from the calculation:
- ΔE_f: -242 meV/atom
- Crystal system: cubic
- Space-group type: F-43m

Lattice parameters (Å, degrees): 4.1471 4.1471 4.1471 60.00 60.00 60.00
Fractional positions:
Ni (0.2500, 0.2500, 0.2500)
Sc (0.0000, 0.0000, 0.0000)
Zn (0.5000, 0.5000, 0.5000)

=====

Entry 9:
Here is a relaxed ScZnNi crystal from the Alexandria database. Energies are from PBEsol.

Values from the calculation:
- ΔE_f: -414 meV/atom
- Crystal system: tetragonal
- Space-group type: I4mm

Lattice parameters (Å, degrees): 3.2148 3.2148 4.8295 109.44 109.44 90.00
Fractional positions:
Sc (0.3413, 0.3413, 0.6827)
Ni (0.0052, 0.0052, 0.0105)
Zn (0.6534, 0.6534, 0.3068)

=====

Entry 10:
Here is a relaxed ScZn3Ni crystal from the Alexandria database. Energies are from PBEsol.

Values from the calculation:
- ΔE_f: 1443 meV/atom
- Crystal system: cubic
- Space-group type: Pm-3m

Lattice parameters (Å, degrees): 4.9578 4.9578 4.9578 90.00 90.00 90.00
Fractional positions:
Sc (0.0000, 0.0000, 0.0000)
Ni (0.5000, 0.5000, 0.5000)
Zn (0.0000, 0.5000, 0.0000)
Zn (0.0000, 0.0000, 0.5000)
Zn (0.5000, 0.0000, 0.0000)

=====

Entry 11:
Here is a relaxed ScZnNi2 crystal from the Alexandria database. Energies are from PBEsol.

Values from the calculation:
- ΔE_f: -393 meV/atom
- Crystal system: tetragonal
- Space-group type: I-4m2

Lattice parameters (Å, degrees): 3.6031 3.6031 4.7745 112.17 112.17 90.00
Fractional positions:
Sc (0.5000, 0.5000, 0.0000)
Ni (0.0000, 0.0000, 0.0000)
Ni (0.7500, 0.2500, 0.5000)
Zn (0.2500, 0.7500, 0.5000)

=====

Entry 12:
Here is a relaxed ZrScNi2 crystal from the Alexandria database. Energies are from PBEsol.

Values from the calculation:
- ΔE_f: -477 meV/atom
- Crystal system: orthorhombic
- Space-group type: Amm2

Lattice parameters (Å, degrees): 3.2714 4.1361 4.9945 90.00 109.12 90.00
Fractional positions:
Sc (0.4821, 0.0000, 0.9641)
Ni (0.2035, 0.0000, 0.4070)
Ni (0.0434, 0.5000, 0.0869)
Zr (0.7626, 0.5000, 0.5253)

=====

Entry 13:
Here is a relaxed ZrScNi2 crystal from the Alexandria database. Energies are from PBEsol.

Values from the calculation:
- ΔE_f: -426 meV/atom
- Crystal system: tetragonal
- Space-group type: P4/mmm

Lattice parameters (Å, degrees): 3.1506 3.1506 6.3102 90.00 90.00 90.00
Fractional positions:
Sc (0.5000, 0.5000, 0.0000)
Ni (0.0000, 0.0000, 0.7424)
Ni (0.0000, 0.0000, 0.2576)
Zr (0.5000, 0.5000, 0.5000)

=====

Entry 14:
Here is a relaxed Zr2ScNi2 crystal from the Alexandria database. Energies are from PBEsol.

Values from the calculation:
- ΔE_f: -371 meV/atom
- Crystal system: tetragonal
- Space-group type: P4/mbm

Lattice parameters (Å, degrees): 3.2629 7.2524 7.2524 90.00 90.00 90.00
Fractional positions:
Sc (0.0000, 0.0000, 0.0000)
Sc (0.0000, 0.5000, 0.5000)
Ni (0.0000, 0.3765, 0.8765)
Ni (0.0000, 0.8765, 0.6235)
Ni (0.0000, 0.6235, 0.1235)
Ni (0.0000, 0.1235, 0.3765)
Zr (0.5000, 0.1676, 0.6676)
Zr (0.5000, 0.6676, 0.8324)
Zr (0.5000, 0.8324, 0.3324)
Zr (0.5000, 0.3324, 0.1676)

=====

Entry 15:
Here is a relaxed NiSe5 crystal from the Alexandria database. Energies are from PBEsol.

Values from the calculation:
- Crystal system: orthorhombic
- Space-group type: Cmmm
- Uncorrected formation energy: -92 meV per atom

Lattice parameters (Å, degrees): 3.5671 5.3009 6.7537 90.00 105.31 90.00
Fractional positions:
Ni (0.0000, 0.0000, 0.0000)
Se (0.3799, 0.0000, 0.7598)
Se (0.6201, 0.0000, 0.2402)
Se (0.3528, 0.5000, 0.7057)
Se (0.6472, 0.5000, 0.2943)
Se (0.0000, 0.5000, 0.0000)

=====

Entry 16:
Here is a relaxed Ni3Se2 crystal from the Alexandria database. Energies are from PBEsol.

Values from the calculation:
- Crystal system: trigonal
- Space-group type: R32
- Uncorrected formation energy: -305 meV per atom

Lattice parameters (Å, degrees): 4.1676 4.1675 4.1674 90.80 90.80 90.80
Fractional positions:
Ni (0.2470, 0.0000, 0.7530)
Ni (0.0000, 0.7530, 0.2470)
Ni (0.7530, 0.2470, 0.0000)
Se (0.2607, 0.2607, 0.2607)
Se (0.7393, 0.7393, 0.7393)

=====

Entry 17:
Here is a relaxed Ni2Se crystal from the Alexandria database. Energies are from PBEsol.

Values from the calculation:
- Crystal system: hexagonal
- Space-group type: P6/mmm
- Uncorrected formation energy: 359 meV per atom

Lattice parameters (Å, degrees): 2.8505 3.9716 3.9716 120.00 90.00 90.00
Fractional positions:
Ni (0.5000, 0.6667, 0.3333)
Ni (0.5000, 0.3333, 0.6667)
Se (0.0000, 0.0000, 0.0000)

=====

Entry 18:
Here is a relaxed Ni3Se crystal from the Alexandria database. Energies are from PBEsol.

Values from the calculation:
- Crystal system: cubic
- Space-group type: Fm-3m
- E above lowest polymorph: 0.039 eV per atom
- Uncorrected formation energy: 79 meV per atom

Lattice parameters (Å, degrees): 4.0296 4.0296 4.0296 60.00 60.00 60.00
Fractional positions:
Ni (0.2500, 0.2500, 0.2500)
Ni (0.0000, 0.0000, 0.0000)
Ni (0.7500, 0.7500, 0.7500)
Se (0.5000, 0.5000, 0.5000)

=====

Entry 19:
Here is a relaxed Ni3Se crystal from the Alexandria database. Energies are from PBEsol.

Values from the calculation:
- Crystal system: orthorhombic
- Space-group type: Imm2
- E above lowest polymorph: 0.000 eV per atom
- Uncorrected formation energy: 41 meV per atom

Lattice parameters (Å, degrees): 3.1913 3.7929 4.5689 114.52 110.44 90.00
Fractional positions:
Ni (0.7270, 0.6454, 0.4539)
Ni (0.2730, 0.1915, 0.5461)
Ni (0.5000, 0.9169, 0.0000)
Se (0.0000, 0.4129, 0.0000)

=====

Entry 20:
Here is a relaxed Ni3Se crystal from the Alexandria database. Energies are from PBEsol.

Values from the calculation:
- Crystal system: orthorhombic
- Space-group type: Pmmm
- E above lowest polymorph: 0.010 eV per atom
- Uncorrected formation energy: 51 meV per atom

Lattice parameters (Å, degrees): 3.0982 3.0782 4.9318 90.00 90.00 90.00
Fractional positions:
Ni (0.5000, 0.5000, 0.7442)
Ni (0.0000, 0.0000, 0.5000)
Ni (0.5000, 0.5000, 0.2558)
Se (0.0000, 0.0000, 0.0000)

=====

Entry 21:
Here is a relaxed Ni3Se4 crystal from the Alexandria database. Energies are from PBEsol.

Values from the calculation:
- Crystal system: hexagonal
- Space-group type: P6/mmm
- Uncorrected formation energy: 491 meV per atom

Lattice parameters (Å, degrees): 4.9445 4.9445 5.0089 90.00 90.00 120.00
Fractional positions:
Ni (0.0000, 0.5000, 0.0000)
Ni (0.5000, 0.0000, 0.0000)
Ni (0.5000, 0.5000, 0.0000)
Se (0.0000, 0.0000, 0.7599)
Se (0.0000, 0.0000, 0.2401)
Se (0.3333, 0.6667, 0.5000)
Se (0.6667, 0.3333, 0.5000)

=====

Entry 22:
Here is a relaxed Ni4Se crystal from the Alexandria database. Energies are from PBEsol.

Values from the calculation:
- Crystal system: tetragonal
- Space-group type: I4/m
- Uncorrected formation energy: 30 meV per atom

Lattice parameters (Å, degrees): 3.6879 4.3183 4.3183 79.49 64.72 64.72
Fractional positions:
Ni (0.6086, 0.2013, 0.5815)
Ni (0.8099, 0.5815, 0.7987)
Ni (0.3914, 0.7987, 0.4185)
Ni (0.1901, 0.4185, 0.2013)
Se (0.0000, 0.0000, 0.0000)

=====

Entry 23:
Here is a relaxed Ni2Se crystal from the Alexandria database. Energies are from PBEsol.

Values from the calculation:
- Crystal system: orthorhombic
- Space-group type: Cmcm
- Uncorrected formation energy: -187 meV per atom

Lattice parameters (Å, degrees): 3.5100 3.5676 7.3130 90.00 103.89 90.00
Fractional positions:
Ni (0.5614, 0.7500, 0.1227)
Ni (0.9382, 0.7500, 0.8765)
Ni (0.0618, 0.2500, 0.1235)
Ni (0.4386, 0.2500, 0.8773)
Se (0.3356, 0.7500, 0.6711)
Se (0.6644, 0.2500, 0.3289)

=====

Entry 24:
Here is a relaxed Ni3Se4 crystal from the Alexandria database. Energies are from PBEsol.

Values from the calculation:
- Crystal system: cubic
- Space-group type: Fd-3m
- Uncorrected formation energy: -342 meV per atom

Lattice parameters (Å, degrees): 6.9528 6.9528 6.9528 60.00 60.00 60.00
Fractional positions:
Ni (0.0000, 0.0000, 0.0000)
Ni (0.6250, 0.1250, 0.6250)
Ni (0.1250, 0.6250, 0.6250)
Ni (0.6250, 0.6250, 0.1250)
Ni (0.2500, 0.2500, 0.2500)
Ni (0.6250, 0.6250, 0.6250)
Se (0.8494, 0.3835, 0.3835)
Se (0.3835, 0.8494, 0.3835)
Se (0.4006, 0.8665, 0.8665)
Se (0.8665, 0.4006, 0.8665)
Se (0.3835, 0.3835, 0.8494)
Se (0.8665, 0.8665, 0.4006)
Se (0.8665, 0.8665, 0.8665)
Se (0.3835, 0.3835, 0.3835)

=====

Entry 25:
Here is a relaxed Ni3Se4 crystal from the Alexandria database. Energies are from PBEsol.

Values from the calculation:
- Crystal system: monoclinic
- Space-group type: C2/m
- Uncorrected formation energy: -332 meV per atom

Lattice parameters (Å, degrees): 3.6354 6.1146 6.1137 119.20 107.30 90.00
Fractional positions:
Ni (0.0000, 0.0000, 0.0000)
Ni (0.2602, 0.2784, 0.5203)
Ni (0.7398, 0.7216, 0.4797)
Se (0.1174, 0.4583, 0.2348)
Se (0.8826, 0.5417, 0.7652)
Se (0.6346, 0.9758, 0.2692)
Se (0.3654, 0.0242, 0.7308)

=====

Entry 26:
Here is a relaxed SiNiSe2 crystal from the Alexandria database. Energies are from PBEsol.

Values from the calculation:
- Crystal system: cubic
- Space-group type: F-43m
- Uncorrected formation energy: 491 meV per atom

Lattice parameters (Å, degrees): 4.4678 4.4678 4.4678 60.00 60.00 60.00
Fractional positions:
Ni (0.5000, 0.5000, 0.5000)
Se (0.0000, 0.0000, 0.0000)
Se (0.2500, 0.2500, 0.2500)
Si (0.7500, 0.7500, 0.7500)

=====

Entry 27:
Here is a relaxed SiNiSe2 crystal from the Alexandria database. Energies are from PBEsol.

Values from the calculation:
- Crystal system: monoclinic
- Space-group type: Cm
- Uncorrected formation energy: -324 meV per atom

Lattice parameters (Å, degrees): 3.4941 3.8541 6.4184 85.27 90.00 116.96
Fractional positions:
Ni (0.8503, 0.7006, 0.5494)
Se (0.9280, 0.8560, 0.9050)
Se (0.1829, 0.3658, 0.3740)
Si (0.5389, 0.0777, 0.6716)

=====

Entry 28:
Here is a relaxed SiNiSe2 crystal from the Alexandria database. Energies are from PBEsol.

Values from the calculation:
- Crystal system: tetragonal
- Space-group type: P4/mmm
- Uncorrected formation energy: 287 meV per atom

Lattice parameters (Å, degrees): 3.0822 3.0822 6.5984 90.00 90.00 90.00
Fractional positions:
Ni (0.5000, 0.5000, 0.5000)
Se (0.0000, 0.0000, 0.7254)
Se (0.0000, 0.0000, 0.2746)
Si (0.5000, 0.5000, 0.0000)

=====

Entry 29:
Here is a relaxed Si2NiSe crystal from the Alexandria database. Energies are from PBEsol.

Values from the calculation:
- Crystal system: orthorhombic
- Space-group type: Cmmm
- Uncorrected formation energy: 287 meV per atom

Lattice parameters (Å, degrees): 3.1089 4.3966 4.3966 106.79 90.00 90.00
Fractional positions:
Ni (0.5000, 0.0000, 0.0000)
Se (0.5000, 0.5000, 0.5000)
Si (0.0000, 0.5000, 0.0000)
Si (0.0000, 0.0000, 0.5000)

=====

| no. | final energy (eV per atom) |
| --- | --- |
| 1 | -6.866 |
| 2 | -6.527 |
| 3 | -6.762 |
| 4 | -6.395 |
| 5 | -5.994 |
| 6 | -5.147 |
| 7 | -5.400 |
| 8 | -5.023 |
| 9 | -5.196 |
| 10 | -2.059 |
| 11 | -5.519 |
| 12 | -7.479 |
| 13 | -7.429 |
| 14 | -7.791 |
| 15 | -4.326 |
| 16 | -5.540 |
| 17 | -5.029 |
| 18 | -5.501 |
| 19 | -5.540 |
| 20 | -5.530 |
| 21 | -4.348 |
| 22 | -5.666 |
| 23 | -5.575 |
| 24 | -5.182 |
| 25 | -5.171 |
| 26 | -4.410 |
| 27 | -5.226 |
| 28 | -4.614 |
| 29 | -5.088 |